Entry from Alexandria via LeMat-Bulk: a geometry-optimized SbAuI2Cl structure (PBE).

Properties
ΔE_f (raw): 0.861 eV/atom
excess energy over the best structure of this formula in the dataset: 0.545 eV per atom
magnetic moment: 1.106 μB per cell
electronic total energy: -8.04 eV/cell

Cell lengths 5.6010, 5.6010, 5.5879 Å; angles 90.00, 90.00, 90.00 degrees
Closest atoms and distances in Å follow each position.
Fractional positions:
Sb (0.0000, 0.0000, 0.5000)  2 Cl 2.79
Au (0.5000, 0.5000, 0.5000)  8 I 3.96, 4 Sb 3.96
Cl (0.0000, 0.0000, 0.0000)  2 Sb 2.79, 4 I 2.80
I (0.5000, 0.0000, 0.0000)  2 Cl 2.80
I (0.0000, 0.5000, 0.0000)  2 Cl 2.80